1.
8
Lattice="4.524 0.000 0.000 0.000 7.881 0.158 0.000 -2.766 8.615" Properties=species:S:1:pos:R:3 comment="Rb2PmPaTe4, optimized geometry, DFT PBE" e_tot_ev_per_atom=-4.74 dos_ef_per_ev_atom=1.06 total_magnetization_mub_per_cell=1.95 pbc="T T T"
Te 0.000 5.265 1.888
Te 2.262 3.860 6.971
Te 0.000 -0.149 6.885
Te 2.262 1.255 1.801
Pm 2.262 3.941 0.079
Pa 0.000 0.000 0.000
Rb 2.262 -1.383 4.307
Rb 0.000 2.558 4.386



2.
16
Lattice="-8.815 1.510 -2.023 1.900 -1.958 -9.739 2.265 -6.495 6.063" Properties=species:S:1:pos:R:3 comment="Rb4Pm3PaTe8, optimized geometry, DFT PBE" e_tot_ev_per_atom=-4.57 dos_ef_per_ev_atom=0.68 total_magnetization_mub_per_cell=1.86 pbc="T T T"
Rb 1.132 -3.247 3.031
Rb 0.000 0.000 0.000
Rb -3.275 -2.492 2.020
Rb -4.407 0.755 -1.011
Pm -2.325 -3.471 -2.850
Pm 2.082 -4.226 -1.838
Pm -3.458 -0.224 -5.881
Pa 0.950 -0.979 -4.870
Te -2.977 -6.573 -2.463
Te -1.673 -0.369 -3.236
Te 0.341 -4.048 -4.510
Te -4.075 -3.325 -5.507
Te -6.139 0.396 -4.261
Te -0.575 -3.617 -0.193
Te -4.992 -2.894 -1.190
Te 1.489 -7.338 -1.438



3.
12
Lattice="-0.397 -4.353 -2.990 4.286 -2.964 -0.943 -0.494 -7.403 6.155" Properties=species:S:1:pos:R:3 comment="PmPa2Re9, optimized geometry, DFT PBE" formation_enthalpy_0k_ev_per_atom=-0.026 dos_ef_per_ev_atom=1.14 total_magnetization_mub_per_cell=0.00 pbc="T T T"
Pm 0.000 0.000 0.000
Re 1.697 -7.361 1.111
Re 0.814 -9.808 4.793
Re -0.272 -8.349 2.811
Re 2.104 -7.644 3.850
Re 1.492 -4.868 -0.111
Re 3.667 -6.372 -0.589
Re 2.580 -4.913 -2.570
Re 1.903 -9.853 2.333
Re 1.291 -7.077 -1.628
Pa 3.102 -9.499 -0.652
Pa 0.292 -5.222 2.874



4.
4
Lattice="-2.375 -3.190 -2.890 1.545 -0.767 -4.603 2.114 -4.271 -1.204" Properties=species:S:1:pos:R:3 comment="PmPaReRu, optimized geometry, DFT PBE" formation_enthalpy_0k_ev_per_atom=0.007 dos_ef_per_ev_atom=1.10 total_magnetization_mub_per_cell=0.00 pbc="T T T"
Pm 0.000 0.000 0.000
Re 0.321 -2.057 -2.174
Pa 0.642 -4.114 -4.349
Ru 0.963 -6.171 -6.523



5.
4
Lattice="-0.644 -4.094 2.750 3.892 -2.111 2.267 0.424 0.237 4.950" Properties=species:S:1:pos:R:3 comment="PmPaReSi, optimized geometry, DFT PBE" e_tot_ev_per_atom=-7.95 dos_ef_per_ev_atom=1.11 total_magnetization_mub_per_cell=0.00 pbc="T T T"
Pm 0.000 0.000 0.000
Si 0.918 -1.492 2.492
Pa 1.836 -2.984 4.984
Re 2.753 -4.476 7.476



6.
4
Lattice="4.912 0.000 0.000 2.456 4.253 0.000 2.456 1.418 4.010" Properties=species:S:1:pos:R:3 comment="PmPaReTc, optimized geometry, DFT PBE" formation_enthalpy_0k_ev_per_atom=0.140 dos_ef_per_ev_atom=0.64 total_magnetization_mub_per_cell=0.00 pbc="T T T"
Tc 4.912 2.836 2.005
Pa 7.367 4.253 3.008
Pm 2.456 1.418 1.003
Re 0.000 0.000 0.000



7.
4
Lattice="4.992 0.000 0.000 2.496 4.323 0.000 2.496 1.441 4.076" Properties=species:S:1:pos:R:3 comment="PmPaZnRe, optimized geometry, DFT PBE" formation_enthalpy_0k_ev_per_atom=0.094 dos_ef_per_ev_atom=0.84 total_magnetization_mub_per_cell=0.00 pbc="T T T"
Re 0.000 0.000 0.000
Pa 2.496 1.441 1.019
Pm 7.488 4.323 3.057
Zn 4.992 2.882 2.038



8.
4
Lattice="-0.354 3.191 -0.982 -2.601 0.884 -1.931 -6.802 3.416 7.809" Properties=species:S:1:pos:R:3 comment="Pm2PaRh, optimized geometry, DFT PBE" polymorph_energy_mev_per_atom=270 formation_enthalpy_0k_ev_per_atom=0.126 dos_ef_per_ev_atom=1.20 total_magnetization_mub_per_cell=0.00 pbc="T T T"
Pa 0.000 0.000 0.000
Rh -4.878 3.746 2.448
Pm -5.035 2.791 5.142
Pm -4.722 4.700 -0.245



9.
18
Lattice="-0.464 -6.376 -4.093 2.035 -4.304 6.474 -7.543 1.864 -2.049" Properties=species:S:1:pos:R:3 comment="Pm2Pa2Rh5, optimized geometry, DFT PBE" formation_enthalpy_0k_ev_per_atom=-0.678 dos_ef_per_ev_atom=0.57 total_magnetization_mub_per_cell=0.00 pbc="T T T"
Pa -2.243 -6.147 -1.928
Pa -1.054 -2.535 -0.650
Pa -3.729 -2.668 2.260
Pa -4.918 -6.281 0.982
Rh -5.046 -6.354 -1.684
Rh 0.036 -5.121 -0.991
Rh -3.149 -1.031 0.038
Rh -3.785 -5.126 3.300
Rh -2.986 -4.408 0.166
Rh -6.008 -3.695 1.323
Rh 0.000 0.000 0.000
Rh -2.187 -3.690 -2.969
Rh -2.823 -7.785 0.294
Rh -0.926 -2.462 2.015
Pm -1.047 -5.656 1.891
Pm 0.096 -3.055 4.748
Pm -4.925 -3.159 -1.559
Pm -5.604 0.616 -0.324



10.
9
Lattice="-0.765 4.163 -1.317 -7.380 0.816 -0.597 -3.955 3.659 6.401" Properties=species:S:1:pos:R:3 comment="Pm4PaRh4, optimized geometry, DFT PBE" formation_enthalpy_0k_ev_per_atom=-0.676 dos_ef_per_ev_atom=0.82 total_magnetization_mub_per_cell=0.00 pbc="T T T"
Pm -3.477 2.896 3.712
Pm -4.683 3.905 0.140
Pm -7.417 4.733 4.348
Pm -8.623 5.742 0.775
Rh -6.203 7.435 4.721
Rh -5.897 1.203 -0.233
Rh -2.404 2.220 0.952
Rh -9.696 6.418 3.535
Pa -0.382 2.082 -0.658



11.
7
Lattice="-0.804 3.846 -2.311 -4.226 -1.438 -0.923 0.127 1.932 7.668" Properties=species:S:1:pos:R:3 comment="Pm2PaRh4, optimized geometry, DFT PBE" formation_enthalpy_0k_ev_per_atom=-0.511 dos_ef_per_ev_atom=0.50 total_magnetization_mub_per_cell=0.00 pbc="T T T"
Pm -1.287 1.690 3.260
Pm -3.617 2.651 1.175
Rh -2.292 4.405 3.633
Rh -4.003 1.763 4.327
Rh -2.612 -0.064 0.802
Rh -0.900 2.578 0.108
Pa 0.000 0.000 0.000